Computed, not measured: a crystal of TaNi2PdAu relaxed with PBEsol at the meta-GGA SCAN level of DFT.

Lattice parameters (Å, degrees): 4.3509 4.3509 4.8353 90.00 90.00 90.00
Space group P4/mmm (No. 123)
One atom of each set of equivalent atoms:
Ta1 0.0000 0.0000 0.0000 (multiplicity 1)
Ni1 0.0000 0.5000 0.5000 (multiplicity 2)
Pd1 0.5000 0.5000 0.5000 (multiplicity 1)
Au1 0.5000 0.5000 0.0000 (multiplicity 1)

Results
Fermi-level density of states   5.1 states/eV per cell
ΔE_f   7.5 eV/f.u.
V   91.5 Å³/cell
VASP energy   -38.682 eV/atom


Computed, not measured: a crystal of ScGe2PtC relaxed with PBEsol at the meta-GGA SCAN level of DFT.

Lattice parameters (Å, degrees): 5.0013 5.0013 3.9261 90.00 90.00 90.00
Space group P4/mmm (No. 123)
One atom of each set of equivalent atoms:
Sc1 0.0000 0.0000 0.0000 (multiplicity 1)
Ge1 0.0000 0.5000 0.0000 (multiplicity 2)
Pt1 0.5000 0.5000 0.5000 (multiplicity 1)
C1 0.0000 0.0000 0.5000 (multiplicity 1)

Results
Fermi-level density of states   3.1 states/eV per cell
ΔE_f   7.7 eV/f.u.
V   98.2 Å³/cell
VASP energy   -25.010 eV/atom


Computed, not measured: a crystal of Mg2TlAg relaxed with PBEsol at the meta-GGA SCAN level of DFT.

Lattice parameters (Å, degrees): 3.4664 4.7916 10.0981 90.00 90.00 90.00
Space group Imm2 (No. 44)
One atom of each set of equivalent atoms:
Mg1 0.0000 0.0000 0.0000 (multiplicity 2)
Mg2 0.0000 0.5000 0.2278 (multiplicity 2)
Tl1 0.0000 0.5000 0.7658 (multiplicity 2)
Ag1 0.0000 0.0000 0.5059 (multiplicity 2)

Results
Fermi-level density of states   2.6 states/eV per cell
ΔE_f   -0.4 eV/f.u.
V   167.7 Å³/cell
VASP energy   -28.528 eV/atom